Record 1
! Ho3Bi GGA-PBEsol relaxed; values from VASP
! Uncorrected energy (eV/atom): -5.159
! Density (g/cm³): 10.9
! Crystal system: cubic
! Total magnetic moment (μB/f.u.): 0.001
&SYSTEM
  ibrav = 0, nat = 4, ntyp = 2
/
ATOMIC_SPECIES
Ho 164.93 Ho.upf
Bi 208.98 Bi.upf
ATOMIC_POSITIONS angstrom
Ho -2.211 -1.097 2.272
Ho -2.940 1.572 0.375
Ho -0.598 1.802 2.766
Bi 0.000 0.000 0.000
CELL_PARAMETERS angstrom
-1.326 4.471 0.869
-4.553 -1.327 -0.119
0.131 -0.867 4.662

Record 2
! Ho5Bi3 GGA-PBEsol relaxed; values from VASP
! Uncorrected energy (eV/atom): -5.416
! Density (g/cm³): 10.8
! Crystal system: orthorhombic
! Total magnetic moment (μB/f.u.): 0.000
&SYSTEM
  ibrav = 0, nat = 32, ntyp = 2
/
ATOMIC_SPECIES
Ho 164.93 Ho.upf
Bi 208.98 Bi.upf
ATOMIC_POSITIONS angstrom
Ho 1.535 0.579 0.744
Bi 7.288 2.336 11.426
Ho 6.711 2.336 2.677
Bi 4.564 9.274 2.063
Bi 0.822 7.007 0.347
Bi 7.600 4.740 7.950
Bi 4.564 4.740 2.063
Bi 0.510 0.069 3.823
Ho 7.949 2.336 5.939
Ho 1.535 4.092 0.744
Ho 1.398 7.007 9.096
Bi 3.233 7.007 6.233
Bi 3.545 0.069 9.710
Bi 0.510 4.602 3.823
Bi 4.877 2.336 5.540
Ho 0.161 7.007 5.834
Ho 6.802 7.007 2.486
Ho 5.590 8.763 5.142
Ho 2.519 0.579 6.630
Bi 7.600 9.274 7.950
Ho 2.656 7.007 3.210
Ho 3.894 7.007 11.721
Ho 6.574 8.763 11.029
Ho 2.747 2.336 3.401
Ho 5.363 7.007 8.372
Ho 5.590 5.251 5.142
Ho 2.519 4.092 6.630
Ho 1.308 2.336 9.287
Ho 4.216 2.336 0.052
Ho 6.574 5.251 11.029
Ho 5.453 2.336 8.563
Bi 3.545 4.602 9.710
CELL_PARAMETERS angstrom
8.110 0.000 0.000
0.000 9.342 0.000
0.000 0.000 11.773